1.
The following is a GGA-PBE calculation of a geometry-optimized BeZnSe2 structure, from Alexandria via LeMat-Bulk.

The calculation puts the energy above the most stable polymorph in this dataset at 0.6546 eV/atom. The value obtained for the energy relative to the elements, uncorrected is -0.09 eV/atom.

The structure belongs to space group Cmmm (No. 65); the cell edges are 3.399, 8.791 and 6.893 Å and the angles 90.00°, 90.00° and 90.00°. The inequivalent atoms are Be at (0.000, 0.000, 0.000), Zn at (0.000, 0.000, 0.500) and Se at (0.000, 0.500, 0.225).

***

2.
The following is a GGA-PBE calculation of a geometry-optimized Mg3Zn8Ga4 structure, from Alexandria via LeMat-Bulk.

The calculation puts the energy relative to the elements at -0.022 eV/atom.

The structure belongs to space group P6_3mc (No. 186); the cell edges are 8.7922, 8.7922 and 7.9012 Å and the angles 90.00°, 90.00° and 120.00°. The inequivalent atoms are Mg at (0.0571, 0.5285, 0.0000), Zn at (0.0000, 0.0000, 0.2151), Zn at (0.1156, 0.2312, 0.9634), Zn at (0.1751, 0.3502, 0.6469), Zn at (0.3333, 0.6667, 0.4141), Ga at (0.1810, 0.3620, 0.2756) and Ga at (0.3333, 0.6667, 0.7531).

***

3.
The following is a GGA-PBE calculation of a geometry-optimized AcCd3Pd structure, from Alexandria via LeMat-Bulk.

The calculation puts the energy above the most stable polymorph in this dataset at 0.2088 eV/atom. The calculation puts the energy relative to the elements at -0.221 eV/atom.

The structure belongs to space group Pm-3m (No. 221); the cell edges are 5.192, 5.192 and 5.192 Å and the angles 90.00°, 90.00° and 90.00°. The inequivalent atoms are Ac at (0.000, 0.000, 0.000), Cd at (0.000, 0.500, 0.500) and Pd at (0.500, 0.500, 0.500).

***

4.
The following is a GGA-PBE calculation of a geometry-optimized Ag2RhCl5 structure, from Alexandria via LeMat-Bulk.

The calculation puts the energy above the most stable polymorph in this dataset at 0.0000 eV/atom. The value obtained for the energy relative to the elements, uncorrected is -0.47 eV/atom.

The structure belongs to space group Cmcm (No. 63); the cell edges are 4.718, 13.617 and 12.810 Å and the angles 90.00°, 90.00° and 90.00°. The inequivalent atoms are Ag at (0.000, 0.137, 0.064), Rh at (0.000, 0.180, 0.750), Cl at (0.000, 0.057, 0.621), Cl at (0.000, 0.286, 0.250) and Cl at (0.000, 0.302, 0.614).

***

5.
The following is a GGA-PBE calculation of a geometry-optimized Cs2LiErBr6 structure, from Alexandria via LeMat-Bulk.

The value obtained for the energy relative to the elements, uncorrected is -1.82 eV/atom.

The structure belongs to space group R-3m (No. 166, hexagonal axes); the cell edges are 7.9173, 7.9173 and 39.4742 Å and the angles 90.00°, 90.00° and 120.00°. The inequivalent atoms are Cs at (0.0000, 0.0000, 0.1254), Cs at (0.0000, 0.0000, 0.2907), Li at (0.0000, 0.0000, 0.0000), Li at (0.0000, 0.0000, 0.5000), Er at (0.0000, 0.0000, 0.4137), Br at (0.0011, 0.5005, 0.7075) and Br at (0.0130, 0.5065, 0.1236).

***

6.
The following is a GGA-PBE calculation of a geometry-optimized Cu3SnPb structure, from Alexandria via LeMat-Bulk.

The calculation puts the energy above the most stable polymorph in this dataset at 0.0000 eV/atom. The calculation puts the energy relative to the elements at 0.554 eV/atom.

The structure belongs to space group Pm-3m (No. 221); the cell edges are 4.871, 4.871 and 4.871 Å and the angles 90.00°, 90.00° and 90.00°. The inequivalent atoms are Cu at (0.000, 0.000, 0.500), Sn at (0.000, 0.000, 0.000) and Pb at (0.500, 0.500, 0.500).